1.
First-principles (GGA-PBE) data for a relaxed PuZn2Pb crystal, as listed in Alexandria via LeMat-Bulk.

Calculated values
Volume in Å³/f.u.: 90
DOS at the Fermi energy in states/eV/f.u.: 11.8
Formation energy in eV/atom: -0.030

Lattice parameters (Å, degrees): 4.4233 4.5196 4.5196 90.00 90.00 90.00
With the nearest neighbours (Å) after each atom.
Fractional positions:
Pb: 0.5000 0.0000 0.0000  8 Zn 3.16, 4 Pu 3.20
Pu: 0.5000 0.5000 0.5000  8 Zn 3.16, 4 Pb 3.20
Zn: 0.0000 0.5000 0.0000  4 Pb 3.16, 4 Pu 3.16, 4 Zn 3.20
Zn: 0.0000 0.0000 0.5000  4 Pb 3.16, 4 Pu 3.16, 4 Zn 3.20

=====

2.
First-principles (GGA-PBE) data for a relaxed PmMgRu4 crystal, as listed in Alexandria via LeMat-Bulk.

Calculated values
Volume in Å³/f.u.: 105
DOS at the Fermi energy in states/eV/f.u.: 9.4
Formation energy in eV/atom: -0.021

Lattice parameters (Å, degrees): 5.2954 5.2954 5.2954 60.00 60.00 60.00
With the nearest neighbours (Å) after each atom.
Fractional positions:
Ru: 0.6256 0.6256 0.6256  6 Ru 2.64-2.66
Ru: 0.1233 0.6256 0.6256  6 Ru 2.64-2.66
Ru: 0.6256 0.1233 0.6256  6 Ru 2.64-2.66
Mg: 0.0000 0.0000 0.0000  12 Ru 3.10, 4 Pm 3.24
Ru: 0.6256 0.6256 0.1233  6 Ru 2.64-2.66
Pm: 0.2500 0.2500 0.2500  12 Ru 3.11, 4 Mg 3.24

=====

3.
First-principles (GGA-PBE) data for a relaxed Li2LaTmIn4 crystal, as listed in Alexandria via LeMat-Bulk.

Calculated values
Volume in Å³/f.u.: 199
DOS at the Fermi energy in states/eV/f.u.: 1.8
Formation energy in eV/atom: -0.378

Lattice parameters (Å, degrees): 5.1872 5.1872 9.0543 73.35 73.35 60.00
With the nearest neighbours (Å) after each atom.
Fractional positions:
Li: 0.2484 0.2484 0.2547  8 In 3.07-3.36
Li: 0.7516 0.7516 0.7453  8 In 3.07-3.36
In: 0.6207 0.6207 0.1380  1 Tm 3.09, 4 Li 3.16-3.36, 3 La 3.22
In: 0.3793 0.3793 0.8620  1 Tm 3.09, 4 Li 3.16-3.36, 3 La 3.22
La: 0.0000 0.0000 0.0000  8 In 3.22-3.30
Tm: 0.5000 0.5000 0.5000  8 In 3.09-3.15
In: 0.1285 0.1285 0.6144  4 Li 3.07-3.20, 3 Tm 3.15, 1 La 3.30
In: 0.8715 0.8715 0.3856  4 Li 3.07-3.20, 3 Tm 3.15, 1 La 3.30

=====

4.
First-principles (GGA-PBE) data for a relaxed Tl2ReBiN crystal, as listed in Alexandria via LeMat-Bulk.

Calculated values
Energy relative to the elements, uncorrected in meV/atom: 2454
Volume in Å³/f.u.: 209
DOS at the Fermi energy in states/eV/f.u.: 8.6

Lattice parameters (Å, degrees): 6.3213 5.2271 6.3213 90.00 90.00 90.00
With the nearest neighbours (Å) after each atom.
Fractional positions:
Bi: 0.0000 0.0000 0.0000  2 Re 2.61
Tl: 0.0000 0.0000 0.5000  2 Bi 3.16
Re: 0.0000 0.5000 0.0000  2 Bi 2.61
N: 0.5000 0.5000 0.5000  8 Tl 4.10, 4 Re 4.47
Tl: 0.5000 0.0000 0.0000  2 Bi 3.16

=====

5.
First-principles (GGA-PBE) data for a relaxed K6HfBi4 crystal, as listed in Alexandria via LeMat-Bulk.

Calculated values
Volume in Å³/f.u.: 503
DOS at the Fermi energy in states/eV/f.u.: 8.3
Formation energy in eV/atom: -0.318

Lattice parameters (Å, degrees): 8.8388 11.4654 11.4654 120.00 90.00 90.00
With the nearest neighbours (Å) after each atom.
Fractional positions:
K: 0.4514 0.1427 0.2854  4 Bi 3.59-3.79
K: 0.6361 0.5287 0.4713  5 Bi 3.75-3.93, 1 Hf 4.02, 2 K 4.17
Bi: 0.8470 0.1947 0.3893  1 Hf 2.87
K: 0.9514 0.8573 0.1427  4 Bi 3.59-3.79
K: 0.9514 0.2854 0.1427  4 Bi 3.59-3.79
Hf: 0.2558 0.6667 0.3333  4 Bi 2.85-2.87
K: 0.1361 0.4713 0.5287  5 Bi 3.75-3.93, 1 Hf 4.02, 2 K 4.17
K: 0.6361 0.5287 0.0573  5 Bi 3.75-3.93, 1 Hf 4.02, 2 K 4.17
K: 0.4514 0.7146 0.8573  4 Bi 3.59-3.79
Bi: 0.3470 0.3893 0.1947  1 Hf 2.87
K: 0.4514 0.1427 0.8573  4 Bi 3.59-3.79
Bi: 0.3470 0.8053 0.6107  1 Hf 2.87
K: 0.1361 0.4713 0.9427  5 Bi 3.75-3.93, 1 Hf 4.02, 2 K 4.17
K: 0.9514 0.8573 0.7146  4 Bi 3.59-3.79
Bi: 0.4330 0.3333 0.6667  1 Hf 2.85
Bi: 0.8470 0.1947 0.8053  1 Hf 2.87
Bi: 0.8470 0.6107 0.8053  1 Hf 2.87
Bi: 0.9330 0.6667 0.3333  1 Hf 2.85
K: 0.1361 0.0573 0.5287  5 Bi 3.75-3.93, 1 Hf 4.02, 2 K 4.17
Hf: 0.7558 0.3333 0.6667  4 Bi 2.85-2.87
Bi: 0.3470 0.8053 0.1947  1 Hf 2.87
K: 0.6361 0.9427 0.4713  5 Bi 3.75-3.93, 1 Hf 4.02, 2 K 4.17

=====

6.
First-principles (GGA-PBE) data for a relaxed Ti2SiHgO crystal, as listed in Alexandria via LeMat-Bulk.

Calculated values
Energy relative to the elements, uncorrected in meV/atom: -654
Volume in Å³/f.u.: 76
DOS at the Fermi energy in states/eV/f.u.: 2.6

Lattice parameters (Å, degrees): 4.0892 4.5211 4.0892 90.00 90.00 90.00
With the nearest neighbours (Å) after each atom.
Fractional positions:
Ti: 0.0000 0.0000 0.5000  2 O 2.04
Hg: 0.5000 0.5000 0.5000  4 Si 2.89, 8 Ti 3.05
O: 0.0000 0.0000 0.0000  4 Ti 2.04, 2 Si 2.26
Si: 0.0000 0.5000 0.0000  2 O 2.26
Ti: 0.5000 0.0000 0.0000  2 O 2.04

=====

7.
First-principles (GGA-PBE) data for a relaxed Ac2Ga3Os crystal, as listed in Alexandria via LeMat-Bulk.

Calculated values
Volume in Å³/f.u.: 152
DOS at the Fermi energy in states/eV/f.u.: 4.7
Formation energy in eV/atom: -0.398

Lattice parameters (Å, degrees): 4.4482 4.3877 7.7875 90.00 90.00 90.00
With the nearest neighbours (Å) after each atom.
Fractional positions:
Ga: 0.5000 0.0000 0.8331  3 Ga 2.57-2.63
Ga: 0.5000 0.5000 0.6609  1 Os 2.56, 2 Ga 2.57
Ga: 0.5000 0.0000 0.1709  2 Os 2.53, 1 Ga 2.63
Ac: 0.0000 0.0000 0.4836  8 Ga 3.30-3.52, 4 Os 3.34
Os: 0.5000 0.5000 0.3327  3 Ga 2.53-2.56
Ac: 0.0000 0.5000 0.0188  2 Os 3.30, 10 Ga 3.34-3.57

=====

8.
First-principles (GGA-PBE) data for a relaxed TbSm5Dy crystal, as listed in Alexandria via LeMat-Bulk.

Calculated values
Volume in Å³/f.u.: 293
DOS at the Fermi energy in states/eV/f.u.: 9.6
Formation energy in eV/atom: 0.899

Lattice parameters (Å, degrees): 6.2119 8.0129 7.7688 121.04 113.57 90.00
With the nearest neighbours (Å) after each atom.
Fractional positions:
Tb: 0.9312 0.0000 0.0000  2 Sm 2.97
Sm: 0.4325 0.1787 0.0000  2 Sm 2.86-3.05, 1 Dy 3.05
Sm: 0.1873 0.2526 0.5051  1 Tb 2.97
Sm: 0.4325 0.8213 0.0000  2 Sm 2.86-3.05, 1 Dy 3.05
Sm: 0.6822 0.7474 0.4949  1 Tb 2.97
Dy: 0.6971 0.5000 0.0000  3 Sm 2.92-3.05
Sm: 0.1680 0.5000 0.0000  1 Dy 2.92, 2 Sm 3.05

=====

9.
First-principles (GGA-PBE) data for a relaxed Ge2PtBr2 crystal, as listed in Alexandria via LeMat-Bulk.

Calculated values
Energy relative to the elements, uncorrected in meV/atom: 504
Volume in Å³/f.u.: 116
DOS at the Fermi energy in states/eV/f.u.: 1.2

Lattice parameters (Å, degrees): 8.3682 8.3682 3.3203 90.00 90.00 90.00
With the nearest neighbours (Å) after each atom.
Fractional positions:
Ge: 0.2966 0.2034 0.5000  2 Br 2.60
Ge: 0.7966 0.2966 0.5000  2 Br 2.60
Br: 0.1275 0.3725 0.0000  2 Ge 2.60
Br: 0.3725 0.8725 0.0000  2 Ge 2.60
Br: 0.8725 0.6275 0.0000  2 Ge 2.60
Ge: 0.7034 0.7966 0.5000  2 Br 2.60
Pt: 0.5000 0.5000 0.0000  4 Br 3.29, 2 Pt 3.32, 8 Ge 3.44
Ge: 0.2034 0.7034 0.5000  2 Br 2.60
Pt: 0.0000 0.0000 0.0000  4 Br 3.29, 2 Pt 3.32, 8 Ge 3.44
Br: 0.6275 0.1275 0.0000  2 Ge 2.60

=====

10.
First-principles (GGA-PBE) data for a relaxed K2Rb4Na2Hg crystal, as listed in Alexandria via LeMat-Bulk.

Calculated values
Volume in Å³/f.u.: 565
DOS at the Fermi energy in states/eV/f.u.: 6.1
Formation energy in eV/atom: -0.026

Lattice parameters (Å, degrees): 8.7815 9.5650 8.8359 125.79 109.43 83.45
With the nearest neighbours (Å) after each atom.
Fractional positions:
Rb: 0.3564 0.2072 0.4816  1 Hg 3.81, 1 Na 4.18, 1 K 4.25
Hg: 0.0000 0.0000 0.0000  2 Na 3.18
K: 0.1335 0.7171 0.5321  1 Hg 3.90, 2 Na 4.18-4.29, 2 Rb 4.25-4.33
Rb: 0.3238 0.2512 0.0069  1 Hg 3.89, 2 Na 4.27, 1 K 4.33
Na: 0.1705 0.6942 0.0130  1 Hg 3.18
Rb: 0.6762 0.7488 0.9931  1 Hg 3.89, 2 Na 4.27, 1 K 4.33
K: 0.8665 0.2829 0.4679  1 Hg 3.90, 2 Na 4.18-4.29, 2 Rb 4.25-4.33
Na: 0.8295 0.3058 0.9870  1 Hg 3.18
Rb: 0.6436 0.7928 0.5184  1 Hg 3.81, 1 Na 4.18, 1 K 4.25

=====

11.
First-principles (GGA-PBE) data for a relaxed Sc2CdAg crystal, as listed in Alexandria via LeMat-Bulk.

Calculated values
Volume in Å³/f.u.: 90
DOS at the Fermi energy in states/eV/f.u.: 4.3
Formation energy in eV/atom: -0.077

Lattice parameters (Å, degrees): 5.1142 5.1142 5.6456 78.01 78.01 38.43
With the nearest neighbours (Å) after each atom.
Fractional positions:
Sc: 0.0043 0.0043 0.9958  3 Ag 2.99-3.08, 3 Cd 3.03-3.06, 4 Sc 3.26-3.31
Ag: 0.7500 0.7500 0.7500  6 Sc 2.99-3.08, 4 Cd 3.29
Sc: 0.4957 0.4957 0.5042  3 Ag 2.99-3.08, 3 Cd 3.03-3.06, 4 Sc 3.26-3.31
Cd: 0.2500 0.2500 0.2500  6 Sc 3.03-3.06, 4 Ag 3.29, 2 Cd 3.37

=====

12.
First-principles (GGA-PBE) data for a relaxed ZnP5 crystal, as listed in Alexandria via LeMat-Bulk.

Calculated values
Volume in Å³/f.u.: 102
DOS at the Fermi energy in states/eV/f.u.: 2.6
Formation energy in eV/atom: 0.424

Lattice parameters (Å, degrees): 8.0159 8.0159 3.2383 90.00 90.00 150.56
With the nearest neighbours (Å) after each atom.
Fractional positions:
P: 0.6412 0.3588 0.0000  2 P 2.31
P: 0.1581 0.8419 0.5000  6 P 2.47-2.62
P: 0.4396 0.5604 0.5000  2 P 2.22
Zn: 0.0046 0.9954 0.0000  8 P 2.79-2.94
P: 0.7478 0.2522 0.5000  4 P 2.31-2.47
P: 0.3420 0.6580 0.0000  2 P 2.22